First-principles (PBE-GGA) data for crystalline SrSbW2 at its relaxed geometry, as listed in the Alexandria database.

```
data_SrSbW2
_cell_length_a 3.591
_cell_length_b 4.867
_cell_length_c 9.737
_cell_angle_alpha 90.00
_cell_angle_beta 90.00
_cell_angle_gamma 90.00
_symmetry_space_group_name_H-M 'C m m m'
_symmetry_Int_Tables_number 65
_symmetry_space_group_name_Hall '-C 2 2'
loop_
_atom_site_label
_atom_site_fract_x
_atom_site_fract_y
_atom_site_fract_z
Sr1 0.000 0.000 0.000
Sb1 0.000 0.000 0.500
W1 0.000 0.500 0.282
```

Output
E in eV/cell: -54.41
Formation energy (no corrections) in eV/atom: 1.13
Fermi-level density of states in states/eV/cell: 4.0